[1]
TiZn2NiSn after structural relaxation. Source: Alexandria via LeMat-Bulk, functional GGA-PBE.

a b c (Å): 4.8709 4.8709 5.1955
angles (deg): 90.00 90.00 90.00
Space group P4/mmm (No. 123)
One atom of each set of equivalent atoms:
Ti 0.0000 0.0000 0.0000
Zn 0.0000 0.5000 0.0000
Ni 0.5000 0.5000 0.5000
Sn 0.0000 0.0000 0.5000

Computed properties:
Total moment: 1.0 μB/f.u.
E_form: 1.10 eV/atom

***

[2]
NdPdPbAu after structural relaxation. Source: Alexandria via LeMat-Bulk, functional GGA-PBE.

a b c (Å): 7.1681 7.1681 7.1681
angles (deg): 90.00 90.00 90.00
Space group F-43m (No. 216)
One atom of each set of equivalent atoms:
Nd 0.0000 0.0000 0.0000
Pd 0.2500 0.2500 0.2500
Pb 0.0000 0.0000 0.5000
Au 0.2500 0.2500 0.7500

Computed properties:
Total moment: 0.0 μB/f.u.
E_form: -0.61 eV/atom

***

[3]
V5GaNi8 after structural relaxation. Source: Alexandria via LeMat-Bulk, functional GGA-PBE.

a b c (Å): 7.2183 7.2183 6.7754
angles (deg): 90.00 90.00 90.00
Space group I-4 (No. 82)
One atom of each set of equivalent atoms:
V 0.0000 0.0000 0.0000
V 0.0920 0.1850 0.5944
Ga 0.0000 0.5000 0.2500
Ni 0.0614 0.3441 0.9062
Ni 0.1321 0.1998 0.2335

Computed properties:
Total moment: 0.0 μB/f.u.
E_form: 0.02 eV/atom

***

[4]
NaCaBeCl5 after structural relaxation. Source: Alexandria via LeMat-Bulk, functional GGA-PBE.

a b c (Å): 8.7132 10.8984 9.6650
angles (deg): 90.00 114.25 90.00
Space group C2/c (No. 15)
One atom of each set of equivalent atoms:
Na 0.0000 0.1457 0.2500
Ca 0.0000 0.5000 0.0000
Be 0.0000 0.1778 0.7500
Cl 0.0000 0.3932 0.2500
Cl 0.1262 0.2841 0.6574
Cl 0.1610 0.0646 0.9164

Computed properties:
Total moment: 0.0 μB/f.u.
ΔE_f (raw): -1865 meV per atom

***

[5]
HoMgGaSe4 after structural relaxation. Source: Alexandria via LeMat-Bulk, functional GGA-PBE.

a b c (Å): 7.9354 7.9859 11.2919
angles (deg): 90.00 90.00 90.00
Space group Imma (No. 74)
One atom of each set of equivalent atoms:
Ho 0.2500 0.2500 0.2500
Mg 0.0000 0.0000 0.0000
Ga 0.0000 0.2500 0.6180
Se 0.0000 0.0027 0.7535
Se 0.2370 0.2500 0.9991

Computed properties:
Total moment: 0.0 μB/f.u.
ΔE_f (raw): -1174 meV per atom

***

[6]
NaTc2AgS after structural relaxation. Source: Alexandria via LeMat-Bulk, functional GGA-PBE.

a b c (Å): 4.9231 4.9231 4.6883
angles (deg): 90.00 90.00 90.00
Space group P4/mmm (No. 123)
One atom of each set of equivalent atoms:
Na 0.0000 0.0000 0.0000
Tc 0.0000 0.5000 0.0000
Ag 0.0000 0.0000 0.5000
S 0.5000 0.5000 0.5000

Computed properties:
Total moment: 7.1 μB/f.u.
ΔE_f (raw): 2184 meV per atom

***

[7]
Ta2FeSeCl after structural relaxation. Source: Alexandria via LeMat-Bulk, functional GGA-PBE.

a b c (Å): 4.7071 4.7071 4.2022
angles (deg): 90.00 90.00 90.00
Space group P4/mmm (No. 123)
One atom of each set of equivalent atoms:
Ta 0.0000 0.5000 0.0000
Fe 0.0000 0.0000 0.0000
Se 0.5000 0.5000 0.5000
Cl 0.0000 0.0000 0.5000

Computed properties:
Total moment: 0.0 μB/f.u.
ΔE_f (raw): 801 meV per atom

***

[8]
Sc2HgPt after structural relaxation. Source: Alexandria via LeMat-Bulk, functional GGA-PBE.

a b c (Å): 4.1252 4.1252 9.1032
angles (deg): 90.00 90.00 90.00
Space group I-4m2 (No. 119)
One atom of each set of equivalent atoms:
Sc 0.0000 0.0000 0.0000
Sc 0.0000 0.5000 0.2500
Hg 0.0000 0.5000 0.7500
Pt 0.0000 0.0000 0.5000

Computed properties:
Total moment: 0.0 μB/f.u.
E_form: -0.64 eV/atom

***

[9]
BeCrRh2 after structural relaxation. Source: Alexandria via LeMat-Bulk, functional GGA-PBE.

a b c (Å): 5.9304 5.9304 5.9304
angles (deg): 90.00 90.00 90.00
Space group F-43m (No. 216)
One atom of each set of equivalent atoms:
Be 0.0000 0.0000 0.0000
Cr 0.2500 0.2500 0.7500
Rh 0.0000 0.0000 0.5000
Rh 0.2500 0.2500 0.2500

Computed properties:
Total moment: 2.3 μB/f.u.
E_form: 0.13 eV/atom

***

[10]
NbAsRuSe2 after structural relaxation. Source: Alexandria via LeMat-Bulk, functional GGA-PBE.

a b c (Å): 4.9755 4.9755 5.0312
angles (deg): 90.00 90.00 90.00
Space group P4/mmm (No. 123)
One atom of each set of equivalent atoms:
Nb 0.0000 0.0000 0.0000
As 0.0000 0.0000 0.5000
Ru 0.5000 0.5000 0.5000
Se 0.0000 0.5000 0.0000

Computed properties:
Total moment: 3.1 μB/f.u.
ΔE_f (raw): 781 meV per atom

***

[11]
RbFeSb2I after structural relaxation. Source: Alexandria via LeMat-Bulk, functional GGA-PBE.

a b c (Å): 4.9195 4.9195 6.6446
angles (deg): 90.00 90.00 90.00
Space group P4/mmm (No. 123)
One atom of each set of equivalent atoms:
Rb 0.0000 0.0000 0.0000
Fe 0.5000 0.5000 0.5000
Sb 0.0000 0.5000 0.5000
I 0.5000 0.5000 0.0000

Computed properties:
Total moment: 0.0 μB/f.u.
ΔE_f (raw): -17 meV per atom

***

[12]
SmLu2O after structural relaxation. Source: Alexandria via LeMat-Bulk, functional GGA-PBE.

a b c (Å): 3.3859 3.3859 27.7691
angles (deg): 90.00 90.00 120.00
Space group R-3m (No. 166, hexagonal axes)
One atom of each set of equivalent atoms:
Sm 0.0000 0.0000 0.0000
Lu 0.0000 0.0000 0.1200
O 0.0000 0.0000 0.5000

Computed properties:
Distance to the lowest polymorph of the same formula: 0 meV/atom
Total moment: 0.0 μB/f.u.
ΔE_f (raw): -1200 meV per atom

***

Copy entry 7 word for word.
Ta2FeSeCl after structural relaxation. Source: Alexandria via LeMat-Bulk, functional GGA-PBE.

a b c (Å): 4.7071 4.7071 4.2022
angles (deg): 90.00 90.00 90.00
Space group P4/mmm (No. 123)
One atom of each set of equivalent atoms:
Ta 0.0000 0.5000 0.0000
Fe 0.0000 0.0000 0.0000
Se 0.5000 0.5000 0.5000
Cl 0.0000 0.0000 0.5000

Computed properties:
Total moment: 0.0 μB/f.u.
ΔE_f (raw): 801 meV per atom